(a)
An optimized crystal structure of Au5Br3, computed with PBE-GGA.

Results
Crystal system ... orthorhombic
Total magnetization ... 0.00 μB/cell
D(E_F) ... 0.301 states/eV/atom
ρ ... 9.4 g cm⁻³

Geometry as CIF:
```
data_Au5Br3
_chemical_formula_sum 'Au5 Br3'
_space_group_name_H-M_alt 'P 1'
_space_group_IT_number 1
_space_group_name_Hall 'P 1'
_cell_length_a 8.340
_cell_length_b 8.340
_cell_length_c 3.807
_cell_angle_alpha 90.00
_cell_angle_beta 90.00
_cell_angle_gamma 125.03
loop_
_atom_site_label
_atom_site_type_symbol
_atom_site_fract_x
_atom_site_fract_y
_atom_site_fract_z
Au1 Au 0.000 0.000 0.000
Au2 Au 0.760 0.760 0.500
Au3 Au 0.240 0.240 0.500
Au4 Au 0.000 0.500 0.000
Br1 Br 0.746 0.254 0.500
Br2 Br 0.500 0.500 0.000
Au5 Au 0.500 0.000 0.000
Br3 Br 0.254 0.746 0.500
```

---

(b)
An optimized crystal structure of Au5Br3, computed with PBE-GGA.

Results
Crystal system ... monoclinic
Total magnetization ... 0.00 μB/cell
D(E_F) ... 0.014 states/eV/atom
ρ ... 9.5 g cm⁻³

Geometry as CIF:
```
data_Au5Br3
_chemical_formula_sum 'Au10 Br6'
_space_group_name_H-M_alt 'P 1'
_space_group_IT_number 1
_space_group_name_Hall 'P 1'
_cell_length_a 8.962
_cell_length_b 9.459
_cell_length_c 7.862
_cell_angle_alpha 102.03
_cell_angle_beta 98.92
_cell_angle_gamma 133.61
loop_
_atom_site_label
_atom_site_type_symbol
_atom_site_fract_x
_atom_site_fract_y
_atom_site_fract_z
Au1 Au 0.144 0.369 0.729
Br1 Br 0.552 0.446 0.981
Au2 Au 0.651 0.027 0.690
Au3 Au 0.178 0.767 0.500
Au4 Au 0.915 0.139 0.271
Au5 Au 0.910 0.678 0.696
Au6 Au 0.541 0.242 0.699
Br2 Br 0.861 0.270 0.056
Au7 Au 0.714 0.482 0.304
Au8 Au 0.821 0.328 0.500
Br3 Br 0.072 0.966 0.019
Br4 Br 0.035 0.056 0.500
Au9 Au 0.460 0.837 0.310
Br5 Br 0.305 0.714 0.944
Au10 Au 0.343 0.044 0.301
Br6 Br 0.492 0.637 0.500
```

---

(c)
An optimized crystal structure of Au5Br3, computed with PBE-GGA.

Results
Crystal system ... hexagonal
Total magnetization ... 0.00 μB/cell
D(E_F) ... 0.228 states/eV/atom
ρ ... 9.8 g cm⁻³

Geometry as CIF:
```
data_Au5Br3
_chemical_formula_sum 'Au10 Br6'
_space_group_name_H-M_alt 'P 1'
_space_group_IT_number 1
_space_group_name_Hall 'P 1'
_cell_length_a 8.136
_cell_length_b 8.136
_cell_length_c 7.227
_cell_angle_alpha 90.00
_cell_angle_beta 90.00
_cell_angle_gamma 120.00
loop_
_atom_site_label
_atom_site_type_symbol
_atom_site_fract_x
_atom_site_fract_y
_atom_site_fract_z
Au1 Au 0.813 0.000 0.750
Au2 Au 0.667 0.333 0.000
Br1 Br 0.503 0.503 0.250
Au3 Au 0.000 0.187 0.250
Br2 Br 0.497 0.000 0.250
Au4 Au 0.333 0.667 0.000
Br3 Br 0.000 0.503 0.750
Au5 Au 0.187 0.187 0.750
Au6 Au 0.813 0.813 0.250
Au7 Au 0.000 0.813 0.750
Au8 Au 0.187 0.000 0.250
Au9 Au 0.333 0.667 0.500
Br4 Br 0.497 0.497 0.750
Br5 Br 0.000 0.497 0.250
Br6 Br 0.503 0.000 0.750
Au10 Au 0.667 0.333 0.500
```

---

Relative stability in kJ/mol of atoms, measured from the most stable structure: (a) 20.0; (b) 0.0; (c) 24.6

---

(a)
An optimized crystal structure of Au2Br3, computed with PBE-GGA.

Results
Crystal system ... orthorhombic
Total magnetization ... 0.00 μB/cell
D(E_F) ... 0.956 states/eV/atom
ρ ... 5.8 g cm⁻³

Geometry as CIF:
```
data_Au2Br3
_chemical_formula_sum 'Au4 Br6'
_space_group_name_H-M_alt 'P 1'
_space_group_IT_number 1
_space_group_name_Hall 'P 1'
_cell_length_a 7.633
_cell_length_b 7.632
_cell_length_c 9.139
_cell_angle_alpha 124.44
_cell_angle_beta 124.46
_cell_angle_gamma 69.18
loop_
_atom_site_label
_atom_site_type_symbol
_atom_site_fract_x
_atom_site_fract_y
_atom_site_fract_z
Au1 Au 0.306 0.050 0.880
Br1 Br 0.085 0.788 0.777
Br2 Br 0.558 0.761 0.723
Br3 Br 0.038 0.835 0.277
Br4 Br 0.657 0.157 0.500
Au2 Au 0.170 0.427 0.120
Br5 Br 0.012 0.308 0.223
Br6 Br 0.407 0.407 0.000
Au3 Au 0.300 0.056 0.380
Au4 Au 0.676 0.920 0.620
```

---

(b)
An optimized crystal structure of Au2Br3, computed with PBE-GGA.

Results
Crystal system ... hexagonal
Total magnetization ... 0.00 μB/cell
D(E_F) ... 0.947 states/eV/atom
ρ ... 8.0 g cm⁻³

Geometry as CIF:
```
data_Au2Br3
_chemical_formula_sum 'Au2 Br3'
_space_group_name_H-M_alt 'P 1'
_space_group_IT_number 1
_space_group_name_Hall 'P 1'
_cell_length_a 5.417
_cell_length_b 5.417
_cell_length_c 5.200
_cell_angle_alpha 90.00
_cell_angle_beta 90.00
_cell_angle_gamma 120.00
loop_
_atom_site_label
_atom_site_type_symbol
_atom_site_fract_x
_atom_site_fract_y
_atom_site_fract_z
Au1 Au 0.333 0.667 0.000
Br1 Br 0.333 0.667 0.500
Au2 Au 0.667 0.333 0.000
Br2 Br 0.667 0.333 0.500
Br3 Br 0.000 0.000 0.000
```

---

Relative stability in kJ/mol of atoms, measured from the most stable structure: (a) 0.0; (b) 29.4

---

(a)
An optimized crystal structure of Au3Br5, computed with PBE-GGA.

Results
Crystal system ... triclinic
Total magnetization ... 0.00 μB/cell
D(E_F) ... 0.152 states/eV/atom
ρ ... 6.4 g cm⁻³

Geometry as CIF:
```
data_Au3Br5
_chemical_formula_sum 'Au3 Br5'
_space_group_name_H-M_alt 'P 1'
_space_group_IT_number 1
_space_group_name_Hall 'P 1'
_cell_length_a 5.890
_cell_length_b 6.709
_cell_length_c 8.085
_cell_angle_alpha 115.55
_cell_angle_beta 116.62
_cell_angle_gamma 79.91
loop_
_atom_site_label
_atom_site_type_symbol
_atom_site_fract_x
_atom_site_fract_y
_atom_site_fract_z
Br1 Br 0.240 0.771 0.188
Au1 Au 0.000 0.000 0.000
Au2 Au 0.500 0.500 0.000
Br2 Br 0.000 0.000 0.500
Br3 Br 0.672 0.318 0.248
Br4 Br 0.328 0.682 0.752
Br5 Br 0.760 0.229 0.812
Au3 Au 0.500 0.500 0.500
```

---

(b)
An optimized crystal structure of Au3Br5, computed with PBE-GGA.

Results
Crystal system ... orthorhombic
Total magnetization ... 0.00 μB/cell
D(E_F) ... 0.480 states/eV/atom
ρ ... 6.9 g cm⁻³

Geometry as CIF:
```
data_Au3Br5
_chemical_formula_sum 'Au3 Br5'
_space_group_name_H-M_alt 'P 1'
_space_group_IT_number 1
_space_group_name_Hall 'P 1'
_cell_length_a 5.520
_cell_length_b 5.520
_cell_length_c 7.814
_cell_angle_alpha 90.00
_cell_angle_beta 90.00
_cell_angle_gamma 90.17
loop_
_atom_site_label
_atom_site_type_symbol
_atom_site_fract_x
_atom_site_fract_y
_atom_site_fract_z
Br1 Br 0.000 0.500 0.000
Br2 Br 0.500 0.000 0.000
Br3 Br 0.249 0.751 0.500
Au1 Au 0.500 0.500 0.000
Br4 Br 0.000 0.000 0.000
Br5 Br 0.751 0.249 0.500
Au2 Au 0.749 0.749 0.500
Au3 Au 0.251 0.251 0.500
```

---

Relative stability in kJ/mol of atoms, measured from the most stable structure: (a) 0.0; (b) 22.4

---

(a)
An optimized crystal structure of Au5Br, computed with PBE-GGA.

Results
Crystal system ... monoclinic
Total magnetization ... 0.00 μB/cell
D(E_F) ... 0.245 states/eV/atom
ρ ... 14.4 g cm⁻³

Geometry as CIF:
```
data_Au5Br
_chemical_formula_sum 'Au5 Br1'
_space_group_name_H-M_alt 'P 1'
_space_group_IT_number 1
_space_group_name_Hall 'P 1'
_cell_length_a 6.678
_cell_length_b 6.678
_cell_length_c 7.160
_cell_angle_alpha 64.93
_cell_angle_beta 64.93
_cell_angle_gamma 25.31
loop_
_atom_site_label
_atom_site_type_symbol
_atom_site_fract_x
_atom_site_fract_y
_atom_site_fract_z
Au1 Au 0.400 0.400 0.301
Au2 Au 0.695 0.695 0.612
Au3 Au 0.046 0.046 0.486
Au4 Au 0.988 0.988 0.921
Au5 Au 0.344 0.344 0.736
Br1 Br 0.694 0.694 0.111
```

---

(b)
An optimized crystal structure of Au5Br, computed with PBE-GGA.

Results
Crystal system ... hexagonal
Total magnetization ... 0.00 μB/cell
D(E_F) ... 0.653 states/eV/atom
ρ ... 13.7 g cm⁻³

Geometry as CIF:
```
data_Au5Br
_chemical_formula_sum 'Au5 Br1'
_space_group_name_H-M_alt 'P 1'
_space_group_IT_number 1
_space_group_name_Hall 'P 1'
_cell_length_a 5.686
_cell_length_b 5.686
_cell_length_c 4.603
_cell_angle_alpha 90.00
_cell_angle_beta 90.00
_cell_angle_gamma 120.00
loop_
_atom_site_label
_atom_site_type_symbol
_atom_site_fract_x
_atom_site_fract_y
_atom_site_fract_z
Au1 Au 0.000 0.500 0.500
Au2 Au 0.500 0.500 0.500
Au3 Au 0.500 0.000 0.500
Au4 Au 0.333 0.667 0.000
Br1 Br 0.000 0.000 0.000
Au5 Au 0.667 0.333 0.000
```

---

(c)
An optimized crystal structure of Au5Br, computed with PBE-GGA.

Results
Crystal system ... orthorhombic
Total magnetization ... 0.00 μB/cell
D(E_F) ... 0.260 states/eV/atom
ρ ... 13.7 g cm⁻³

Geometry as CIF:
```
data_Au5Br
_chemical_formula_sum 'Au5 Br1'
_space_group_name_H-M_alt 'P 1'
_space_group_IT_number 1
_space_group_name_Hall 'P 1'
_cell_length_a 8.352
_cell_length_b 8.352
_cell_length_c 3.980
_cell_angle_alpha 90.00
_cell_angle_beta 90.00
_cell_angle_gamma 152.38
loop_
_atom_site_label
_atom_site_type_symbol
_atom_site_fract_x
_atom_site_fract_y
_atom_site_fract_z
Au1 Au 0.316 0.684 0.000
Au2 Au 0.692 0.308 0.000
Au3 Au 0.457 0.543 0.500
Br1 Br 0.105 0.895 0.500
Au4 Au 0.815 0.185 0.500
Au5 Au 0.947 0.053 0.000
```

---

Relative stability in kJ/mol of atoms, measured from the most stable structure: (a) 4.5; (b) 0.0; (c) 3.3

---

(a)
An optimized crystal structure of Au2CBr, computed with PBE-GGA.

Results
Crystal system ... tetragonal
Total magnetization ... 0.00 μB/cell
D(E_F) ... 0.347 states/eV/atom
ρ ... 9.7 g cm⁻³

Geometry as CIF:
```
data_Au2CBr
_chemical_formula_sum 'Au4 C2 Br2'
_space_group_name_H-M_alt 'P 1'
_space_group_IT_number 1
_space_group_name_Hall 'P 1'
_cell_length_a 6.058
_cell_length_b 6.058
_cell_length_c 6.251
_cell_angle_alpha 61.02
_cell_angle_beta 61.02
_cell_angle_gamma 90.00
loop_
_atom_site_label
_atom_site_type_symbol
_atom_site_fract_x
_atom_site_fract_y
_atom_site_fract_z
Au1 Au 0.240 0.625 0.250
Br1 Br 0.750 0.250 0.500
Br2 Br 0.000 0.000 0.000
Au2 Au 0.510 0.125 0.250
C1 C 0.250 0.750 0.500
C2 C 0.500 0.500 0.000
Au3 Au 0.375 0.490 0.750
Au4 Au 0.875 0.760 0.750
```

---

(b)
An optimized crystal structure of Au2CBr, computed with PBE-GGA.

Results
Crystal system ... cubic
Total magnetization ... 1.14 μB/cell
D(E_F) ... 1.222 states/eV/atom
ρ ... 11.3 g cm⁻³

Geometry as CIF:
```
data_Au2CBr
_chemical_formula_sum 'Au2 C1 Br1'
_space_group_name_H-M_alt 'P 1'
_space_group_IT_number 1
_space_group_name_Hall 'P 1'
_cell_length_a 4.652
_cell_length_b 4.652
_cell_length_c 4.652
_cell_angle_alpha 60.00
_cell_angle_beta 60.00
_cell_angle_gamma 60.00
loop_
_atom_site_label
_atom_site_type_symbol
_atom_site_fract_x
_atom_site_fract_y
_atom_site_fract_z
Br1 Br 0.500 0.500 0.500
C1 C 0.000 0.000 0.000
Au1 Au 0.250 0.250 0.250
Au2 Au 0.750 0.750 0.750
```

---

Relative stability in kJ/mol of atoms, measured from the most stable structure: (a) 0.0; (b) 96.4

---

(a)
An optimized crystal structure of AuC3Br, computed with PBE-GGA.

Results
Crystal system ... cubic
Total magnetization ... 3.39 μB/cell
D(E_F) ... 0.684 states/eV/atom
ρ ... 6.7 g cm⁻³

Geometry as CIF:
```
data_AuC3Br
_chemical_formula_sum 'Au1 C3 Br1'
_space_group_name_H-M_alt 'P 1'
_space_group_IT_number 1
_space_group_name_Hall 'P 1'
_cell_length_a 4.258
_cell_length_b 4.258
_cell_length_c 4.258
_cell_angle_alpha 90.00
_cell_angle_beta 90.00
_cell_angle_gamma 90.00
loop_
_atom_site_label
_atom_site_type_symbol
_atom_site_fract_x
_atom_site_fract_y
_atom_site_fract_z
Br1 Br 0.500 0.500 0.500
C1 C 0.000 0.000 0.500
Au1 Au 0.000 0.000 0.000
C2 C 0.500 0.000 0.000
C3 C 0.000 0.500 0.000
```

---

(b)
An optimized crystal structure of AuC3Br, computed with PBE-GGA.

Results
Crystal system ... cubic
Total magnetization ... 0.00 μB/cell
D(E_F) ... 0.292 states/eV/atom
ρ ... 7.7 g cm⁻³

Geometry as CIF:
```
data_AuC3Br
_chemical_formula_sum 'Au1 C3 Br1'
_space_group_name_H-M_alt 'P 1'
_space_group_IT_number 1
_space_group_name_Hall 'P 1'
_cell_length_a 4.063
_cell_length_b 4.063
_cell_length_c 4.063
_cell_angle_alpha 90.00
_cell_angle_beta 90.00
_cell_angle_gamma 90.00
loop_
_atom_site_label
_atom_site_type_symbol
_atom_site_fract_x
_atom_site_fract_y
_atom_site_fract_z
Au1 Au 0.500 0.500 0.500
Br1 Br 0.000 0.000 0.000
C1 C 0.000 0.000 0.500
C2 C 0.000 0.500 0.000
C3 C 0.500 0.000 0.000
```

---

Relative stability in kJ/mol of atoms, measured from the most stable structure: (a) 0.0; (b) 45.6

---

(a)
An optimized crystal structure of AuCBr2, computed with PBE-GGA.

Results
Crystal system ... tetragonal
Total magnetization ... 0.00 μB/cell
D(E_F) ... 0.291 states/eV/atom
ρ ... 6.2 g cm⁻³

Geometry as CIF:
```
data_AuCBr2
_chemical_formula_sum 'Au2 C2 Br4'
_space_group_name_H-M_alt 'P 1'
_space_group_IT_number 1
_space_group_name_Hall 'P 1'
_cell_length_a 5.559
_cell_length_b 5.559
_cell_length_c 7.521
_cell_angle_alpha 68.31
_cell_angle_beta 68.31
_cell_angle_gamma 90.00
loop_
_atom_site_label
_atom_site_type_symbol
_atom_site_fract_x
_atom_site_fract_y
_atom_site_fract_z
Br1 Br 0.875 0.806 0.750
Br2 Br 0.556 0.125 0.250
C1 C 0.500 0.500 0.000
Br3 Br 0.194 0.625 0.250
Au1 Au 0.750 0.250 0.500
C2 C 0.250 0.750 0.500
Au2 Au 0.000 0.000 0.000
Br4 Br 0.375 0.444 0.750
```

---

(b)
An optimized crystal structure of AuCBr2, computed with PBE-GGA.

Results
Crystal system ... cubic
Total magnetization ... 0.88 μB/cell
D(E_F) ... 0.648 states/eV/atom
ρ ... 7.7 g cm⁻³

Geometry as CIF:
```
data_AuCBr2
_chemical_formula_sum 'Au1 C1 Br2'
_space_group_name_H-M_alt 'P 1'
_space_group_IT_number 1
_space_group_name_Hall 'P 1'
_cell_length_a 4.834
_cell_length_b 4.834
_cell_length_c 4.834
_cell_angle_alpha 60.00
_cell_angle_beta 60.00
_cell_angle_gamma 60.00
loop_
_atom_site_label
_atom_site_type_symbol
_atom_site_fract_x
_atom_site_fract_y
_atom_site_fract_z
Br1 Br 0.750 0.750 0.750
Br2 Br 0.250 0.250 0.250
Au1 Au 0.500 0.500 0.500
C1 C 0.000 0.000 0.000
```

---

Relative stability in kJ/mol of atoms, measured from the most stable structure: (a) 0.0; (b) 38.0

---

(a)
An optimized crystal structure of RhAu2CBr, computed with PBE-GGA.

Results
Crystal system ... tetragonal
Total magnetization ... 2.16 μB/cell
D(E_F) ... 1.664 states/eV/atom
ρ ... 7.7 g cm⁻³

Geometry as CIF:
```
data_RhAu2CBr
_chemical_formula_sum 'Rh1 Au2 C1 Br1'
_space_group_name_H-M_alt 'P 1'
_space_group_IT_number 1
_space_group_name_Hall 'P 1'
_cell_length_a 5.195
_cell_length_b 5.195
_cell_length_c 4.687
_cell_angle_alpha 90.00
_cell_angle_beta 90.00
_cell_angle_gamma 90.00
loop_
_atom_site_label
_atom_site_type_symbol
_atom_site_fract_x
_atom_site_fract_y
_atom_site_fract_z
Au1 Au 0.000 0.500 0.000
C1 C 0.500 0.500 0.500
Rh1 Rh 0.000 0.000 0.000
Au2 Au 0.500 0.000 0.000
Br1 Br 0.000 0.000 0.500
```

---

(b)
An optimized crystal structure of RhAu2CBr, computed with PBE-GGA.

Results
Crystal system ... tetragonal
Total magnetization ... 0.73 μB/cell
D(E_F) ... 0.990 states/eV/atom
ρ ... 9.8 g cm⁻³

Geometry as CIF:
```
data_RhAu2CBr
_chemical_formula_sum 'Rh1 Au2 C1 Br1'
_space_group_name_H-M_alt 'P 1'
_space_group_IT_number 1
_space_group_name_Hall 'P 1'
_cell_length_a 5.086
_cell_length_b 3.853
_cell_length_c 5.086
_cell_angle_alpha 90.00
_cell_angle_beta 90.00
_cell_angle_gamma 90.00
loop_
_atom_site_label
_atom_site_type_symbol
_atom_site_fract_x
_atom_site_fract_y
_atom_site_fract_z
Au1 Au 0.000 0.000 0.500
Au2 Au 0.500 0.000 0.000
Br1 Br 0.000 0.000 0.000
C1 C 0.000 0.500 0.000
Rh1 Rh 0.500 0.500 0.500
```

---

Relative stability in kJ/mol of atoms, measured from the most stable structure: (a) 0.0; (b) 19.0